# 1
# CoPW2, optimized geometry, DFT PBE
data_CoPW2
_chemical_formula_sum 'Co2 P2 W4'
_cell_length_a 2.947
_cell_length_b 4.281
_cell_length_c 8.473
_cell_angle_alpha 90.00
_cell_angle_beta 90.00
_cell_angle_gamma 90.00
_symmetry_space_group_name_H-M 'I m m 2'
_symmetry_Int_Tables_number 44
_symmetry_space_group_name_Hall 'I 2 -2'
loop_
_atom_site_label
_atom_site_type_symbol
_atom_site_fract_x
_atom_site_fract_y
_atom_site_fract_z
Co1 Co 0.000 0.000 0.000
P1 P 0.000 0.500 0.698
W1 W 0.000 0.000 0.437
W2 W 0.000 0.500 0.229
# formation enthalpy at 0 K: -0.3 eV/f.u.

=====

# 2
# TaMo6W, optimized geometry, DFT PBE
data_TaMo6W
_chemical_formula_sum 'Ta3 Mo18 W3'
_cell_length_a 9.2403
_cell_length_b 9.2403
_cell_length_c 5.3813
_cell_angle_alpha 90.00
_cell_angle_beta 90.00
_cell_angle_gamma 120.00
_symmetry_space_group_name_H-M 'R -3 m'
_symmetry_Int_Tables_number 166
_symmetry_space_group_name_Hall '-R 3 2"'
loop_
_atom_site_label
_atom_site_type_symbol
_atom_site_fract_x
_atom_site_fract_y
_atom_site_fract_z
Ta1 Ta 0.0000 0.0000 0.0000
Mo1 Mo 0.0035 0.5017 0.2518
W1 W 0.0000 0.0000 0.5000
# formation enthalpy at 0 K: 2.0 eV/f.u.
# offset from the most stable computed form: 0.000 eV/atom

=====

# 3
# LaCdOs2, optimized geometry, DFT PBE
data_LaCdOs2
_chemical_formula_sum 'La1 Cd1 Os2'
_cell_length_a 2.969
_cell_length_b 2.969
_cell_length_c 8.768
_cell_angle_alpha 90.00
_cell_angle_beta 90.00
_cell_angle_gamma 90.00
_symmetry_space_group_name_H-M 'P 4/m m m'
_symmetry_Int_Tables_number 123
_symmetry_space_group_name_Hall '-P 4 2'
loop_
_atom_site_label
_atom_site_type_symbol
_atom_site_fract_x
_atom_site_fract_y
_atom_site_fract_z
La1 La 0.000 0.000 0.000
Cd1 Cd 0.000 0.000 0.500
Os1 Os 0.500 0.500 0.270
# formation enthalpy at 0 K: 3.3 eV/f.u.

=====

# 4
# Ca2ZrCl, optimized geometry, DFT PBE
data_Ca2ZrCl
_chemical_formula_sum 'Ca2 Zr1 Cl1'
_cell_length_a 3.368
_cell_length_b 3.368
_cell_length_c 10.960
_cell_angle_alpha 90.00
_cell_angle_beta 90.00
_cell_angle_gamma 90.00
_symmetry_space_group_name_H-M 'P 4 m m'
_symmetry_Int_Tables_number 99
_symmetry_space_group_name_Hall 'P 4 -2'
loop_
_atom_site_label
_atom_site_type_symbol
_atom_site_fract_x
_atom_site_fract_y
_atom_site_fract_z
Ca1 Ca 0.000 0.000 0.000
Ca2 Ca 0.500 0.500 0.300
Zr1 Zr 0.500 0.500 0.770
Cl1 Cl 0.000 0.000 0.440
# offset from the most stable computed form: 0.352 eV/atom